[1]
Compound: NdDyCoRu
Source: Alexandria
Functional: PBE
Structure: optimized geometry

Lattice parameters (Å, degrees): 6.8627 6.8627 6.8627 90.00 90.00 90.00
Last column: nearest neighbours and their distance in Å.
Space group F-43m (No. 216)
One atom of each set of equivalent atoms:
Nd 0.0000 0.0000 0.0000 [4 per cell]  4 Co 2.97, 4 Ru 2.97
Dy 0.0000 0.0000 0.5000 [4 per cell]  4 Co 2.97, 4 Ru 2.97
Co 0.2500 0.2500 0.2500 [4 per cell]  4 Dy 2.97, 4 Nd 2.97
Ru 0.2500 0.2500 0.7500 [4 per cell]  4 Dy 2.97, 4 Nd 2.97

## Properties
Density in Mg/m³: 9.59
Magnetic moment in Bohr magnetons per cell: 0.00
Total DFT energy (no corrections) in eV per atom: -6.543

=====

[2]
Compound: CoSiCl
Source: Alexandria
Functional: PBE
Structure: optimized geometry

Lattice parameters (Å, degrees): 5.7281 5.7281 5.7281 90.00 90.00 90.00
Last column: nearest neighbours and their distance in Å.
Space group F-43m (No. 216)
One atom of each set of equivalent atoms:
Co 0.0000 0.0000 0.0000 [4 per cell]  4 Si 2.48, 4 Cl 2.48
Si 0.2500 0.2500 0.2500 [4 per cell]  4 Co 2.48
Cl 0.2500 0.2500 0.7500 [4 per cell]  4 Co 2.48

## Properties
Density in Mg/m³: 4.33
Magnetic moment in Bohr magnetons per cell: 0.00
Total DFT energy (no corrections) in eV per atom: -4.437
Raw formation energy in kJ per mole of atoms: 34.23
Offset from the most stable computed form in eV/f.u.: 1.15

=====

[3]
Compound: KMnAlS3
Source: Alexandria
Functional: PBE
Structure: optimized geometry

Lattice parameters (Å, degrees): 3.7453 14.5674 10.4557 90.00 90.00 90.00
Last column: nearest neighbours and their distance in Å.
Space group Cmcm (No. 63)
One atom of each set of equivalent atoms:
K 0.0000 0.2495 0.2500 [4 per cell]  6 S 3.27-3.33
Mn 0.0000 0.0000 0.0000 [4 per cell]  6 S 2.58-2.79
Al 0.0000 0.4712 0.7500 [4 per cell]  4 S 2.22-2.33
S 0.0000 0.0665 0.7500 [4 per cell]  2 Al 2.33
S 0.0000 0.3890 0.5707 [8 per cell]  1 Al 2.22

## Properties
Density in Mg/m³: 2.53
Magnetic moment in Bohr magnetons per cell: 20.00
Total DFT energy (no corrections) in eV per atom: -5.400
Raw formation energy in kJ per mole of atoms: -96.60

=====

[4]
Compound: Ca3AgPt2
Source: Alexandria
Functional: PBE
Structure: optimized geometry

Lattice parameters (Å, degrees): 3.5360 3.5360 10.9347 90.00 90.00 90.00
Last column: nearest neighbours and their distance in Å.
Space group P4/mmm (No. 123)
One atom of each set of equivalent atoms:
Ca 0.0000 0.0000 0.0000 [1 per cell]  8 Pt 3.05, 2 Ca 3.40
Ca 0.0000 0.0000 0.3105 [2 per cell]  4 Pt 2.99, 4 Ag 3.25
Ag 0.5000 0.5000 0.5000 [1 per cell]  8 Ca 3.25, 4 Ag 3.54
Pt 0.5000 0.5000 0.1603 [2 per cell]  8 Ca 2.99-3.05

## Properties
Density in Mg/m³: 7.51
Magnetic moment in Bohr magnetons per cell: 0.00
Total DFT energy (no corrections) in eV per atom: -4.213
Offset from the most stable computed form in eV/f.u.: 0.00

=====

[5]
Compound: Na2TaCdMo
Source: Alexandria
Functional: PBE
Structure: optimized geometry

Lattice parameters (Å, degrees): 4.8857 4.8857 5.5159 90.00 90.00 90.00
Last column: nearest neighbours and their distance in Å.
Space group P4/mmm (No. 123)
One atom of each set of equivalent atoms:
Na 0.0000 0.5000 0.0000 [2 per cell]  2 Cd 2.44
Ta 0.0000 0.0000 0.5000 [1 per cell]  2 Cd 2.76
Cd 0.0000 0.0000 0.0000 [1 per cell]  4 Na 2.44
Mo 0.5000 0.5000 0.5000 [1 per cell]  4 Ta 3.45, 8 Na 3.68

## Properties
Density in Mg/m³: 5.49
Magnetic moment in Bohr magnetons per cell: 1.33
Total DFT energy (no corrections) in eV per atom: -3.483

=====

[6]
Compound: Mn2BeTc
Source: Alexandria
Functional: PBE
Structure: optimized geometry

Lattice parameters (Å, degrees): 2.4978 3.9876 4.6336 90.00 101.74 90.00
Last column: nearest neighbours and their distance in Å.
Space group P2/m (No. 10)
One atom of each set of equivalent atoms:
Mn 0.2201 0.0000 0.2258 [2 per cell]  1 Mn 2.16
Be 0.5000 0.5000 0.0000 [1 per cell]  2 Tc 2.40, 4 Mn 2.42, 2 Be 2.50
Tc 0.0000 0.5000 0.5000 [1 per cell]  2 Be 2.40, 4 Mn 2.49, 2 Tc 2.50

## Properties
Density in Mg/m³: 7.97
Magnetic moment in Bohr magnetons per cell: 0.00
Total DFT energy (no corrections) in eV per atom: -8.060

=====

[7]
Compound: ZnAs2Se
Source: Alexandria
Functional: PBE
Structure: optimized geometry

Lattice parameters (Å, degrees): 3.6169 3.6169 19.4913 90.00 90.00 90.00
Last column: nearest neighbours and their distance in Å.
Space group I4/mmm (No. 139)
One atom of each set of equivalent atoms:
Zn 0.0000 0.0000 0.0000 [2 per cell]  4 Se 2.56
As 0.0000 0.5000 0.2500 [4 per cell]  4 As 2.56
Se 0.0000 0.0000 0.5000 [2 per cell]  4 Zn 2.56

## Properties
Density in Mg/m³: 3.83
Magnetic moment in Bohr magnetons per cell: 0.00
Total DFT energy (no corrections) in eV per atom: -3.309
Raw formation energy in kJ per mole of atoms: 19.77
Offset from the most stable computed form in eV/f.u.: 1.48

=====

[8]
Compound: SmY3Tm8
Source: Alexandria
Functional: PBE
Structure: optimized geometry

Lattice parameters (Å, degrees): 12.4677 11.1551 6.2287 90.00 119.95 90.00
Last column: nearest neighbours and their distance in Å.
Space group Cm (No. 8)
One atom of each set of equivalent atoms:
Sm 0.0000 0.0000 0.0000 [2 per cell]  10 Tm 3.48-3.63, 2 Y 3.50
Y 0.0000 0.5000 0.0004 [2 per cell]  10 Tm 3.47-3.63, 2 Y 3.49
Y 0.4994 0.2493 0.3375 [4 per cell]  10 Tm 3.47-3.62, 1 Y 3.49, 1 Sm 3.50
Tm 0.1671 0.2504 0.0023 [4 per cell]  7 Tm 3.46-3.62, 4 Y 3.47-3.62, 1 Sm 3.48
Tm 0.1681 0.0000 0.6723 [2 per cell]  7 Tm 3.46-3.64, 3 Y 3.49-3.59, 2 Sm 3.58-3.63
Tm 0.1678 0.5000 0.6725 [2 per cell]  7 Tm 3.46-3.63, 4 Y 3.48-3.63, 1 Sm 3.59
Tm 0.3322 0.0000 0.3368 [2 per cell]  7 Tm 3.46-3.63, 4 Y 3.47-3.62, 1 Sm 3.59
Tm 0.3319 0.2496 0.6672 [4 per cell]  7 Tm 3.46-3.62, 4 Y 3.48-3.62, 1 Sm 3.49
Tm 0.3316 0.5000 0.3362 [2 per cell]  7 Tm 3.47-3.64, 3 Y 3.49-3.58, 2 Sm 3.58-3.63

## Properties
Density in Mg/m³: 7.82
Magnetic moment in Bohr magnetons per cell: 0.00
Total DFT energy (no corrections) in eV per atom: -4.987

=====

[9]
Compound: ScI3F
Source: Alexandria
Functional: PBE
Structure: optimized geometry

Lattice parameters (Å, degrees): 5.2954 5.2954 5.2954 90.00 90.00 90.00
Last column: nearest neighbours and their distance in Å.
Space group Pm-3m (No. 221)
One atom of each set of equivalent atoms:
Sc 0.0000 0.0000 0.0000 [1 per cell]  12 I 3.74
I 0.0000 0.5000 0.5000 [3 per cell]  2 F 2.65
F 0.5000 0.5000 0.5000 [1 per cell]  6 I 2.65

## Properties
Density in Mg/m³: 4.97
Magnetic moment in Bohr magnetons per cell: 0.51
Total DFT energy (no corrections) in eV per atom: -2.607
Raw formation energy in kJ per mole of atoms: -3.49
Offset from the most stable computed form in eV/f.u.: 3.74

=====

[10]
Compound: Pm2TlZn2Rh5
Source: Alexandria
Functional: PBE
Structure: optimized geometry

Lattice parameters (Å, degrees): 9.7759 9.7759 3.7593 90.00 90.00 90.00
Last column: nearest neighbours and their distance in Å.
Space group P4/mbm (No. 127)
One atom of each set of equivalent atoms:
Pm 0.1763 0.3237 0.0000 [4 per cell]  3 Zn 2.80-2.96, 2 Rh 3.08
Tl 0.0000 0.0000 0.0000 [2 per cell]  8 Rh 2.87
Zn 0.1209 0.6209 0.0000 [4 per cell]  6 Rh 2.52-2.55, 1 Pm 2.80
Rh 0.0000 0.5000 0.5000 [2 per cell]  4 Zn 2.52
Rh 0.0682 0.7894 0.5000 [8 per cell]  2 Zn 2.55

## Properties
Density in Mg/m³: 10.54
Magnetic moment in Bohr magnetons per cell: 0.00
Total DFT energy (no corrections) in eV per atom: -5.607

=====

[11]
Compound: Ca2CrW
Source: Alexandria
Functional: PBE
Structure: optimized geometry

Lattice parameters (Å, degrees): 5.8657 9.9384 3.0267 90.00 90.71 90.00
Last column: nearest neighbours and their distance in Å.
Space group C2/m (No. 12)
One atom of each set of equivalent atoms:
Ca 0.2500 0.2500 0.0000 [4 per cell]  4 Ca 2.93-3.03, 4 Cr 3.25-3.27, 4 W 3.25-3.27
Cr 0.0000 0.0000 0.5000 [2 per cell]  2 W 2.93, 2 Cr 3.03, 8 Ca 3.25-3.27
W 0.0000 0.5000 0.5000 [2 per cell]  2 Cr 2.93, 2 W 3.03, 8 Ca 3.25-3.27

## Properties
Density in Mg/m³: 5.95
Magnetic moment in Bohr magnetons per cell: 5.65
Total DFT energy (no corrections) in eV per atom: -5.599
Offset from the most stable computed form in eV/f.u.: 2.22

=====

[12]
Compound: Pr2YHf
Source: Alexandria
Functional: PBE
Structure: optimized geometry

Lattice parameters (Å, degrees): 3.4057 3.4057 36.9666 90.00 90.00 120.00
Last column: nearest neighbours and their distance in Å.
Space group R-3m (No. 166, hexagonal axes)
One atom of each set of equivalent atoms:
Pr 0.0000 0.0000 0.0846 [6 per cell]  1 Hf 3.13, 6 Pr 3.41
Y 0.0000 0.0000 0.5000 [3 per cell]  6 Y 3.41, 6 Pr 3.62
Hf 0.0000 0.0000 0.0000 [3 per cell]  2 Pr 3.13, 6 Hf 3.41

## Properties
Density in Mg/m³: 7.37
Magnetic moment in Bohr magnetons per cell: 0.00
Total DFT energy (no corrections) in eV per atom: -6.098
Offset from the most stable computed form in eV/f.u.: 0.83